# PBE Pr3Mg4Ga4, relaxed
# Magnetic moment = 0.00 μB/f.u.
# VASP energy = -0.25262 Ry per atom
# E_form = -0.453 eV per atom
data_Pr3Mg4Ga4
_chemical_formula_sum 'Pr3 Mg4 Ga4'
_cell_length_a 8.797
_cell_length_b 8.797
_cell_length_c 8.797
_cell_angle_alpha 149.62
_cell_angle_beta 130.37
_cell_angle_gamma 59.31
_symmetry_space_group_name_H-M 'P 1'
_symmetry_Int_Tables_number 1
loop_
_symmetry_equiv_pos_as_xyz
'x,y,z'
loop_
_atom_site_label
_atom_site_type_symbol
_atom_site_fract_x
_atom_site_fract_y
_atom_site_fract_z
Pr1 Pr 0.000 0.000 0.000
Pr2 Pr 0.379 0.879 0.500
Pr3 Pr 0.621 0.121 0.500
Mg1 Mg 0.024 0.329 0.695
Mg2 Mg 0.367 0.671 0.695
Mg3 Mg 0.633 0.329 0.305
Mg4 Mg 0.976 0.671 0.305
Ga1 Ga 0.217 0.217 0.000
Ga2 Ga 0.317 0.500 0.817
Ga3 Ga 0.683 0.500 0.183
Ga4 Ga 0.783 0.783 0.000

# PBE Ce7Sn2Pt2, relaxed
# Magnetic moment = 5.75 μB/f.u.
# VASP energy = -0.44723 Ry per atom
# E_form = -0.483 eV per atom
data_Ce7Sn2Pt2
_chemical_formula_sum 'Ce7 Sn2 Pt2'
_cell_length_a 7.093
_cell_length_b 7.093
_cell_length_c 6.711
_cell_angle_alpha 90.00
_cell_angle_beta 90.00
_cell_angle_gamma 108.27
_symmetry_space_group_name_H-M 'P 1'
_symmetry_Int_Tables_number 1
loop_
_symmetry_equiv_pos_as_xyz
'x,y,z'
loop_
_atom_site_label
_atom_site_type_symbol
_atom_site_fract_x
_atom_site_fract_y
_atom_site_fract_z
Ce1 Ce 0.000 0.000 0.000
Ce2 Ce 0.000 0.500 0.287
Ce3 Ce 0.000 0.500 0.713
Ce4 Ce 0.500 0.000 0.287
Ce5 Ce 0.500 0.000 0.713
Ce6 Ce 0.500 0.500 0.219
Ce7 Ce 0.500 0.500 0.781
Sn1 Sn 0.176 0.176 0.500
Sn2 Sn 0.824 0.824 0.500
Pt1 Pt 0.267 0.733 0.000
Pt2 Pt 0.733 0.267 0.000

# PBE MnGa6Fe, relaxed
# Magnetic moment = 2.91 μB/f.u.
# VASP energy = -0.33639 Ry per atom
# E_form = -0.103 eV per atom
data_MnGa6Fe
_chemical_formula_sum 'Mn1 Ga6 Fe1'
_cell_length_a 6.957
_cell_length_b 6.957
_cell_length_c 6.957
_cell_angle_alpha 145.37
_cell_angle_beta 134.92
_cell_angle_gamma 58.06
_symmetry_space_group_name_H-M 'P 1'
_symmetry_Int_Tables_number 1
loop_
_symmetry_equiv_pos_as_xyz
'x,y,z'
loop_
_atom_site_label
_atom_site_type_symbol
_atom_site_fract_x
_atom_site_fract_y
_atom_site_fract_z
Mn1 Mn 0.000 0.000 0.000
Ga1 Ga 0.073 0.822 0.251
Ga2 Ga 0.255 0.500 0.755
Ga3 Ga 0.429 0.178 0.251
Ga4 Ga 0.571 0.822 0.749
Ga5 Ga 0.745 0.500 0.245
Ga6 Ga 0.927 0.178 0.749
Fe1 Fe 0.500 0.000 0.500